The following is a DFT calculation (meta-GGA SCAN) of LiBiRh2 at its PBEsol-relaxed geometry.

Values from the calculation:
E_tot: -149.6 eV per cell
formation energy: -0.28 eV per atom

Unit cell a=4.425 b=4.425 c=4.425 alpha=60.00 beta=60.00 gamma=60.00
Positions (direct):
Rh (0.250, 0.250, 0.250)
Rh (0.750, 0.750, 0.750)
Bi (0.500, 0.500, 0.500)
Li (0.000, 0.000, 0.000)

The following is a DFT calculation (meta-GGA SCAN) of Ca2Os at its PBEsol-relaxed geometry.

Values from the calculation:
E_tot: -89.6 eV per cell
formation energy: 0.54 eV per atom

Unit cell a=3.032 b=4.923 c=4.923 alpha=120.00 beta=90.00 gamma=90.00
Positions (direct):
Ca (0.297, 0.667, 0.333)
Ca (0.703, 0.333, 0.667)
Os (0.000, 0.000, 0.000)

The following is a DFT calculation (meta-GGA SCAN) of MoWO6 at its PBEsol-relaxed geometry.

Values from the calculation:
uncorrected formation energy: -2128 meV/atom
E_tot: -159.0 eV per cell
ΔE to the lowest computed polymorph: 0 meV per atom

Unit cell a=5.395 b=5.395 c=5.416 alpha=90.09 beta=119.82 gamma=119.95
Positions (direct):
Mo (0.987, 0.516, 0.504)
O (0.451, 0.251, 0.197)
O (0.447, 0.746, 0.693)
O (0.943, 0.250, 0.192)
O (0.946, 0.746, 0.197)
O (0.947, 0.246, 0.693)
O (0.949, 0.747, 0.697)
W (0.985, 0.016, 0.001)

The following is a DFT calculation (meta-GGA SCAN) of Sr2Cu2Pt at its PBEsol-relaxed geometry.

Values from the calculation:
E_tot: -146.4 eV per cell
formation energy: -0.25 eV per atom

Unit cell a=3.517 b=3.517 c=9.230 alpha=100.98 beta=100.98 gamma=90.00
Positions (direct):
Sr (0.397, 0.397, 0.794)
Sr (0.603, 0.603, 0.206)
Cu (0.250, 0.750, 0.500)
Cu (0.750, 0.250, 0.500)
Pt (0.000, 0.000, 0.000)

The following is a DFT calculation (meta-GGA SCAN) of RbSi at its PBEsol-relaxed geometry.

Values from the calculation:
uncorrected formation energy: -85 meV/atom
E_tot: -989.6 eV per cell
ΔE to the lowest computed polymorph: 0 meV per atom

Unit cell a=12.913 b=12.913 c=12.913 alpha=90.00 beta=90.00 gamma=90.00
Positions (direct):
Rb (0.333, 0.333, 0.333)
Rb (0.667, 0.667, 0.333)
Rb (0.667, 0.333, 0.667)
Rb (0.333, 0.667, 0.667)
Rb (0.833, 0.833, 0.833)
Rb (0.167, 0.167, 0.833)
Rb (0.833, 0.167, 0.167)
Rb (0.167, 0.833, 0.167)
Rb (0.336, 0.141, 0.065)
Rb (0.664, 0.859, 0.065)
Rb (0.664, 0.141, 0.935)
Rb (0.336, 0.859, 0.935)
Rb (0.065, 0.336, 0.141)
Rb (0.065, 0.664, 0.859)
Rb (0.935, 0.664, 0.141)
Rb (0.935, 0.336, 0.859)
Rb (0.141, 0.065, 0.336)
Rb (0.859, 0.065, 0.664)
Rb (0.141, 0.935, 0.664)
Rb (0.859, 0.935, 0.336)
Rb (0.641, 0.836, 0.565)
Rb (0.359, 0.164, 0.565)
Rb (0.641, 0.164, 0.435)
Rb (0.359, 0.836, 0.435)
Rb (0.836, 0.565, 0.641)
Rb (0.164, 0.565, 0.359)
Rb (0.164, 0.435, 0.641)
Rb (0.836, 0.435, 0.359)
Rb (0.565, 0.641, 0.836)
Rb (0.565, 0.359, 0.164)
Rb (0.435, 0.641, 0.164)
Rb (0.435, 0.359, 0.836)
Si (0.066, 0.066, 0.066)
Si (0.934, 0.934, 0.066)
Si (0.934, 0.066, 0.934)
Si (0.066, 0.934, 0.934)
Si (0.566, 0.566, 0.566)
Si (0.434, 0.434, 0.566)
Si (0.566, 0.434, 0.434)
Si (0.434, 0.566, 0.434)
Si (0.061, 0.316, 0.428)
Si (0.939, 0.684, 0.428)
Si (0.939, 0.316, 0.572)
Si (0.061, 0.684, 0.572)
Si (0.428, 0.061, 0.316)
Si (0.428, 0.939, 0.684)
Si (0.572, 0.939, 0.316)
Si (0.572, 0.061, 0.684)
Si (0.316, 0.428, 0.061)
Si (0.684, 0.428, 0.939)
Si (0.316, 0.572, 0.939)
Si (0.684, 0.572, 0.061)
Si (0.816, 0.561, 0.928)
Si (0.184, 0.439, 0.928)
Si (0.816, 0.439, 0.072)
Si (0.184, 0.561, 0.072)
Si (0.561, 0.928, 0.816)
Si (0.439, 0.928, 0.184)
Si (0.439, 0.072, 0.816)
Si (0.561, 0.072, 0.184)
Si (0.928, 0.816, 0.561)
Si (0.928, 0.184, 0.439)
Si (0.072, 0.816, 0.439)
Si (0.072, 0.184, 0.561)

The following is a DFT calculation (meta-GGA SCAN) of PtRh2 at its PBEsol-relaxed geometry.

Values from the calculation:
E_tot: -137.8 eV per cell
formation energy: -0.03 eV per atom
ΔE to the lowest computed polymorph: 1 meV per atom

Unit cell a=2.703 b=3.817 c=4.682 alpha=114.06 beta=106.78 gamma=90.00
Positions (direct):
Rh (0.331, 0.331, 0.663)
Rh (0.669, 0.669, 0.337)
Pt (0.000, 0.000, 0.000)